This record from Alexandria via LeMat-Bulk describes a relaxed KGeP3 crystal. The functional is PBE-GGA.

Output
ΔE_f, eV per formula unit: 9.92
Magnetic moment, μB/cell: 0.0
Electronic total energy, eV/atom: -2.40
Crystal system: cubic
Energy above the lowest structure with this stoichiometry, eV/f.u.: 6.95
V, Å³/cell: 138.3

Cell lengths 5.171, 5.171, 5.171 Å; angles 90.00, 90.00, 90.00 degrees
Sites, in units of the cell vectors:
P1 0.000 0.500 0.000
K1 0.000 0.000 0.000
P2 0.000 0.000 0.500
P3 0.500 0.000 0.000
Ge1 0.500 0.500 0.500